Here is a relaxed structure of Cs2NaUTe4 from Alexandria. Energies are from PBE.

final energy = -4.23 eV per atom
total magnetic moment = 0.99 μB per formula unit

Cell lengths 8.1698, 4.6682, 9.1537 Å; angles 90.00, 107.00, 90.00 degrees
Closest atoms and distances in Å follow each position.
Positions (direct):
Cs (0.0000, 0.0000, 0.0000)  6 Te 3.94-4.06
Cs (0.5000, 0.5000, 0.0000)  6 Te 3.73-3.77
Na (0.0000, 0.5000, 0.5000)  6 Te 3.29-3.33
U (0.5000, 0.0000, 0.5000)  6 Te 2.93-3.08
Te (0.2622, 0.0000, 0.6860)  1 U 2.93
Te (0.2948, 0.5000, 0.3148)  2 U 3.08, 1 Na 3.33
Te (0.7052, 0.5000, 0.6852)  2 U 3.08, 1 Na 3.33
Te (0.7378, 0.0000, 0.3140)  1 U 2.93